No. 1
5
Lattice="5.290 0.000 0.000 0.000 5.290 0.000 0.000 0.000 5.290" Properties=species:S:1:pos:R:3 comment="Sn3WSe GGA-PBE relaxed" polymorph_energy_ev_per_atom=0.000 pbc="T T T"
Sn 0.000 0.000 2.645
Sn 0.000 2.645 0.000
Sn 2.645 0.000 0.000
W 0.000 0.000 0.000
Se 2.645 2.645 2.645

No. 2
The following is a DFT calculation (GGA-PBE) of a relaxed structure of YRe2Te.

```
8
Lattice="3.453 0.000 0.000 0.000 5.205 0.000 0.000 0.000 8.815" Properties=species:S:1:pos:R:3 pbc="T T T"
Y 0.000 0.000 0.000
Y 1.727 2.602 0.000
Re 0.000 2.602 2.336
Re 0.000 2.602 6.479
Re 1.727 0.000 2.336
Re 1.727 0.000 6.479
Te 0.000 0.000 4.407
Te 1.727 2.602 4.407
```

no.,density of states at the Fermi level (states/eV per atom),uncorrected formation energy (eV/atom)
1,0.710,0.5018
2,0.833,0.9209